The following is a DFT calculation (PBE+U) of crystalline Tl2FeGeO6 at its relaxed geometry.

Magnetization ... 0.40 μB/atom
Calculated total energy ... -5.553 eV/atom
DOS at the Fermi energy ... 1.759 states/eV per cell

Cell lengths 5.442, 5.489, 5.643 Å; angles 91.19, 118.15, 119.35 degrees
Positions (direct):
Tl: 0.000 0.000 0.000
Tl: 0.011 0.506 0.510
Fe: 0.550 0.779 0.320
Ge: 0.560 0.282 0.838
O: 0.031 0.407 0.101
O: 0.098 0.158 0.623
O: 0.474 0.940 0.619
O: 0.476 0.074 0.099
O: 0.689 0.533 0.628
O: 0.694 0.631 0.103